1.
A plane-wave DFT calculation with PBE was carried out for Ca2CdSN after structural relaxation. Values from VASP.

Geometry as Quantum ESPRESSO input:
```
&SYSTEM
  ibrav = 0, nat = 5, ntyp = 4
/
ATOMIC_SPECIES
Ca 40.08 Ca.upf
N 14.01 N.upf
S 32.06 S.upf
Cd 112.41 Cd.upf
ATOMIC_POSITIONS crystal
Ca 0.000 0.000 0.500
Ca 0.500 0.000 0.000
N 0.000 0.000 0.000
S 0.500 0.500 0.500
Cd 0.000 0.500 0.000
CELL_PARAMETERS angstrom
4.870 0.000 0.000
0.000 4.425 0.000
0.000 0.000 4.870
```

Values from the calculation:
Total magnetization: 0.0 Bohr magnetons per cell
Space group: P4/mmm, No. 123


2.
A plane-wave DFT calculation with PBE was carried out for K2NaAg2Cl7 after structural relaxation. Values from VASP.

Geometry as Quantum ESPRESSO input:
```
&SYSTEM
  ibrav = 0, nat = 12, ntyp = 4
/
ATOMIC_SPECIES
K 39.10 K.upf
Cl 35.45 Cl.upf
Ag 107.87 Ag.upf
Na 22.99 Na.upf
ATOMIC_POSITIONS crystal
K 0.179 0.179 0.644
K 0.821 0.821 0.356
Cl 0.698 0.698 0.602
Cl 0.092 0.592 0.816
Cl 0.408 0.908 0.184
Cl 0.592 0.092 0.816
Cl 0.908 0.408 0.184
Cl 0.302 0.302 0.398
Cl 0.500 0.500 0.000
Ag 0.401 0.401 0.198
Ag 0.599 0.599 0.802
Na 0.000 0.000 0.000
CELL_PARAMETERS angstrom
-2.657 0.659 -4.342
3.850 -2.091 -2.674
-4.623 -12.185 -2.058
```

Values from the calculation:
Total magnetization: 0.0 Bohr magnetons per cell
Space group: C2/m, No. 12


3.
A plane-wave DFT calculation with PBE was carried out for KNiSbRu2 after structural relaxation. Values from VASP.

Geometry as Quantum ESPRESSO input:
```
&SYSTEM
  ibrav = 0, nat = 5, ntyp = 4
/
ATOMIC_SPECIES
Ni 58.69 Ni.upf
Sb 121.76 Sb.upf
Ru 101.07 Ru.upf
K 39.10 K.upf
ATOMIC_POSITIONS crystal
Ni 0.500 0.500 0.500
Sb 0.000 0.500 0.000
Ru 0.500 0.000 0.000
Ru 0.000 0.000 0.500
K 0.000 0.000 0.000
CELL_PARAMETERS angstrom
4.550 0.000 0.000
0.000 5.552 0.000
0.000 0.000 4.550
```

Values from the calculation:
Total magnetization: 2.8 Bohr magnetons per cell
Space group: P4/mmm, No. 123


| no. | volume (Å³/cell) | formation energy from raw total energies (eV/atom) | Fermi-level density of states (states/eV per atom) |
| --- | --- | --- | --- |
| 1 | 105 | -0.7893 | 0.22 |
| 2 | 334 | -1.1020 | 0.26 |
| 3 | 115 | 2.7290 | 1.37 |